Record 1
{"formula": "AcSmPdI", "functional": "PBE", "state": "optimized geometry", "cell": [[4.330, 0.000, 0.000], [-2.165, 3.749, 0.000], [0.000, 0.000, 25.090]], "species": ["Ac", "Ac", "Ac", "Sm", "Sm", "Sm", "Pd", "Pd", "Pd", "I", "I", "I"], "fractional_positions": [[0.000, 0.000, 0.000], [0.333, 0.667, 0.667], [0.667, 0.333, 0.333], [0.000, 0.000, 0.793], [0.333, 0.667, 0.459], [0.667, 0.333, 0.126], [0.000, 0.000, 0.401], [0.333, 0.667, 0.068], [0.667, 0.333, 0.734], [0.000, 0.000, 0.223], [0.333, 0.667, 0.890], [0.667, 0.333, 0.556]]}

Record 2
{"formula": "SrAcPdI", "functional": "PBE", "state": "optimized geometry", "cell": [[4.436, 0.000, 0.000], [-2.218, 3.842, 0.000], [0.000, 0.000, 25.958]], "species": ["Sr", "Sr", "Sr", "Ac", "Ac", "Ac", "Pd", "Pd", "Pd", "I", "I", "I"], "fractional_positions": [[0.000, 0.000, 0.000], [0.333, 0.667, 0.667], [0.667, 0.333, 0.333], [0.000, 0.000, 0.204], [0.333, 0.667, 0.871], [0.667, 0.333, 0.538], [0.000, 0.000, 0.597], [0.333, 0.667, 0.264], [0.667, 0.333, 0.931], [0.000, 0.000, 0.769], [0.333, 0.667, 0.435], [0.667, 0.333, 0.102]]}

Record 3
{"formula": "Ac8TePd3I4", "functional": "PBE", "state": "optimized geometry", "cell": [[4.572, 2.640, 8.425], [-4.572, 2.640, 8.425], [0.000, -5.279, 8.425]], "species": ["Ac", "Ac", "Ac", "Ac", "Ac", "Ac", "Ac", "Ac", "Te", "Pd", "Pd", "Pd", "I", "I", "I", "I"], "fractional_positions": [[0.212, 0.745, 0.745], [0.229, 0.229, 0.229], [0.255, 0.255, 0.788], [0.255, 0.788, 0.255], [0.745, 0.212, 0.745], [0.745, 0.745, 0.212], [0.771, 0.771, 0.771], [0.788, 0.255, 0.255], [0.500, 0.500, 0.500], [0.000, 0.000, 0.500], [0.000, 0.500, 0.000], [0.500, 0.000, 0.000], [0.000, 0.000, 0.000], [0.000, 0.500, 0.500], [0.500, 0.000, 0.500], [0.500, 0.500, 0.000]]}

Record 4
{"formula": "AcTePdI", "functional": "PBE", "state": "optimized geometry", "cell": [[2.330, 1.345, 15.783], [-2.330, 1.345, 15.783], [0.000, -2.691, 15.783]], "species": ["Ac", "Ac", "Te", "Te", "Pd", "Pd", "I", "I"], "fractional_positions": [[0.079, 0.079, 0.079], [0.921, 0.921, 0.921], [0.299, 0.299, 0.299], [0.701, 0.701, 0.701], [0.377, 0.377, 0.377], [0.623, 0.623, 0.623], [0.208, 0.208, 0.208], [0.792, 0.792, 0.792]]}

Record 5
{"formula": "Ac6TlPd2I3", "functional": "PBE", "state": "optimized geometry", "cell": [[4.004, -6.870, 0.000], [4.004, 6.870, 0.000], [-2.657, 0.000, 8.366]], "species": ["Ac", "Ac", "Ac", "Ac", "Ac", "Ac", "Tl", "Pd", "Pd", "I", "I", "I"], "fractional_positions": [[0.073, 0.431, 0.794], [0.209, 0.209, 0.200], [0.431, 0.073, 0.794], [0.569, 0.927, 0.206], [0.791, 0.791, 0.800], [0.927, 0.569, 0.206], [0.500, 0.500, 0.000], [0.168, 0.832, 0.000], [0.832, 0.168, 0.000], [0.000, 0.000, 0.500], [0.344, 0.656, 0.500], [0.656, 0.344, 0.500]]}

Record 6
{"formula": "Ac4TlPdI2", "functional": "PBE", "state": "optimized geometry", "cell": [[8.403, 0.000, 0.000], [0.000, 4.486, 0.000], [-2.440, 0.000, 8.340]], "species": ["Ac", "Ac", "Ac", "Ac", "Tl", "Pd", "I", "I"], "fractional_positions": [[0.214, 0.000, 0.195], [0.240, 0.500, 0.785], [0.760, 0.500, 0.215], [0.786, 0.000, 0.805], [0.500, 0.000, 0.000], [0.000, 0.500, 0.000], [0.000, 0.000, 0.500], [0.500, 0.500, 0.500]]}

Record 7
{"formula": "Ac8ZnPd3I4", "functional": "PBE", "state": "optimized geometry", "cell": [[4.530, 2.615, 8.535], [-4.530, 2.615, 8.535], [0.000, -5.230, 8.535]], "species": ["Ac", "Ac", "Ac", "Ac", "Ac", "Ac", "Ac", "Ac", "Zn", "Pd", "Pd", "Pd", "I", "I", "I", "I"], "fractional_positions": [[0.222, 0.734, 0.734], [0.231, 0.231, 0.231], [0.266, 0.266, 0.778], [0.266, 0.778, 0.266], [0.734, 0.222, 0.734], [0.734, 0.734, 0.222], [0.769, 0.769, 0.769], [0.778, 0.266, 0.266], [0.500, 0.500, 0.500], [0.000, 0.000, 0.500], [0.000, 0.500, 0.000], [0.500, 0.000, 0.000], [0.000, 0.000, 0.000], [0.000, 0.500, 0.500], [0.500, 0.000, 0.500], [0.500, 0.500, 0.000]]}

Record 8
{"formula": "AcPmI", "functional": "PBE", "state": "optimized geometry", "cell": [[0.000, 6.832, 9.152], [3.843, 0.000, 9.152], [3.843, 6.832, 0.000]], "species": ["Ac", "Ac", "Ac", "Ac", "Pm", "Pm", "Pm", "Pm", "I", "I", "I", "I"], "fractional_positions": [[0.005, 0.005, 0.245], [0.245, 0.245, 0.005], [0.755, 0.755, 0.995], [0.995, 0.995, 0.755], [0.227, 0.227, 0.523], [0.477, 0.477, 0.773], [0.523, 0.523, 0.227], [0.773, 0.773, 0.477], [0.244, 0.506, 0.244], [0.494, 0.756, 0.494], [0.506, 0.244, 0.506], [0.756, 0.494, 0.756]]}

Record 9
{"formula": "AcPmI2", "functional": "PBE", "state": "optimized geometry", "cell": [[3.988, 0.000, 0.000], [0.000, 3.988, 0.000], [0.000, 0.000, 8.052]], "species": ["Ac", "Pm", "I", "I"], "fractional_positions": [[0.000, 0.000, 0.000], [0.000, 0.000, 0.500], [0.500, 0.500, 0.264], [0.500, 0.500, 0.736]]}

Record 10
{"formula": "AcPmI2", "functional": "PBE", "state": "optimized geometry", "cell": [[7.997, 0.000, 0.000], [0.000, 7.997, 0.000], [0.000, 0.000, 7.997]], "species": ["Ac", "Ac", "Ac", "Ac", "Pm", "Pm", "Pm", "Pm", "I", "I", "I", "I", "I", "I", "I", "I"], "fractional_positions": [[0.000, 0.000, 0.000], [0.000, 0.500, 0.500], [0.500, 0.000, 0.500], [0.500, 0.500, 0.000], [0.000, 0.000, 0.500], [0.000, 0.500, 0.000], [0.500, 0.000, 0.000], [0.500, 0.500, 0.500], [0.250, 0.250, 0.250], [0.250, 0.250, 0.750], [0.250, 0.750, 0.250], [0.250, 0.750, 0.750], [0.750, 0.250, 0.250], [0.750, 0.250, 0.750], [0.750, 0.750, 0.250], [0.750, 0.750, 0.750]]}

Table of total magnetic moment (μB/f.u.), in record order: 0.0; 0.0; 0.0; 0.0; 0.0; 0.0; 0.0; 0.0; 0.0; 0.0
Table of raw formation energy (meV/atom), in record order: -902; -989; -981; -1172; -821; -769; -848; -246; -760; -763